{"formula": "InSi2Au2", "functional": "PBE", "state": "relaxed", "raw_formation_energy_ev_per_atom": 0.260, "magnetic_moment_mub_per_atom": 0.000, "lattice_angstrom": [[8.2131, 0.0000, 0.0000], [0.0000, 8.2131, 0.0000], [0.0000, 0.0000, 2.8505]], "species": ["In", "In", "Si", "Si", "Si", "Si", "Au", "Au", "Au", "Au"], "frac_coords": [[0.0000, 0.0000, 0.0000], [0.5000, 0.5000, 0.0000], [0.1379, 0.3621, 0.0000], [0.3621, 0.8621, 0.0000], [0.6379, 0.1379, 0.0000], [0.8621, 0.6379, 0.0000], [0.1568, 0.6568, 0.5000], [0.3432, 0.1568, 0.5000], [0.6568, 0.8432, 0.5000], [0.8432, 0.3432, 0.5000]]}